## KBiCl2 (PBE-GGA)

Data for KBiCl2 after structural relaxation.

ΔE_f (raw), eV per atom: -0.686
Magnetic moment, μB/atom: 0.47

a = 5.4862 Å, b = 5.4862 Å, c = 5.4862 Å
α = 60.00°, β = 60.00°, γ = 60.00°
Closest atoms and distances in Å follow each position.
Fractional coordinates of all 4 atoms:
K 0.0000 0.0000 0.0000  8 Cl 3.36
Bi 0.5000 0.5000 0.5000  8 Cl 3.36
Cl 0.2500 0.2500 0.2500  4 Bi 3.36, 4 K 3.36
Cl 0.7500 0.7500 0.7500  4 Bi 3.36, 4 K 3.36

## LiCoAu2 (PBE-GGA)

Data for LiCoAu2 after structural relaxation.

Magnetic moment, μB/atom: 0.43
Formation energy, eV/atom: -0.045

a = 4.9574 Å, b = 4.9574 Å, c = 4.9574 Å
α = 134.83°, β = 134.83°, γ = 65.79°
Closest atoms and distances in Å follow each position.
Fractional coordinates of all 4 atoms:
Li 0.0000 0.0000 0.0000  8 Au 2.69-2.82, 4 Co 2.82
Co 0.7500 0.2500 0.5000  8 Au 2.69-2.82, 4 Li 2.82
Au 0.2500 0.7500 0.5000  4 Co 2.69, 4 Au 2.82, 4 Li 2.82
Au 0.5000 0.5000 0.0000  4 Li 2.69, 4 Co 2.82, 4 Au 2.82

## AsOs4Br (PBE-GGA)

Data for AsOs4Br after structural relaxation.

ΔE_f (raw), eV per atom: 1.495
Magnetic moment, μB/atom: 0.37

a = 5.2850 Å, b = 5.2850 Å, c = 5.2850 Å
α = 60.00°, β = 60.00°, γ = 60.00°
Closest atoms and distances in Å follow each position.
Fractional coordinates of all 6 atoms:
As 0.0000 0.0000 0.0000  12 Os 3.10, 4 Br 3.24
Os 0.3743 0.3743 0.3743  6 Os 2.63-2.66
Os 0.3743 0.3743 0.8771  6 Os 2.63-2.66
Os 0.3743 0.8771 0.3743  6 Os 2.63-2.66
Os 0.8771 0.3743 0.3743  6 Os 2.63-2.66
Br 0.7500 0.7500 0.7500  12 Os 3.10, 4 As 3.24

## LiTl2 (PBE-GGA)

Data for LiTl2 after structural relaxation.

Magnetic moment, μB/atom: 0.00
Formation energy, eV/atom: -0.106

a = 8.0868 Å, b = 8.0868 Å, c = 5.3341 Å
α = 90.00°, β = 90.00°, γ = 154.35°
Closest atoms and distances in Å follow each position.
Fractional coordinates of all 6 atoms:
Li 0.0974 0.9026 0.7500  8 Tl 3.09-3.26
Li 0.9026 0.0974 0.2500  8 Tl 3.09-3.26
Tl 0.2390 0.7610 0.2500  4 Li 3.14-3.48, 6 Tl 3.23-3.32
Tl 0.4380 0.5620 0.7500  6 Li 3.09-3.26, 4 Tl 3.31-3.32
Tl 0.5620 0.4380 0.2500  6 Li 3.09-3.26, 4 Tl 3.31-3.32
Tl 0.7610 0.2390 0.7500  4 Li 3.14-3.48, 6 Tl 3.23-3.32